# 1
The following is a PBE calculation of CaRuI2O after structural relaxation, from the Alexandria database.

Cell: 5.6789 5.6789 3.8165 Å, 90.00 90.00 90.00°
Element x y z (fractional)
Ca  0.0000  0.0000  0.0000
Ru  0.5000  0.5000  0.5000
I  0.0000  0.5000  0.5000
I  0.5000  0.0000  0.5000
O  0.5000  0.5000  0.0000

Excess energy over the best structure of this formula in the dataset = 0.000 eV/f.u.
Formation energy without anion corrections = -0.6619 eV/atom
Space-group type = P4/mmm

=====

# 2
The following is a PBE calculation of Pr3SeO3 after structural relaxation, from the Alexandria database.

Cell: 8.1408 8.1408 8.1408 Å, 50.80 50.80 50.80°
Element x y z (fractional)
Pr  0.0953  0.4274  0.7638
Pr  0.2362  0.9047  0.5726
Pr  0.4274  0.7638  0.0953
Pr  0.5726  0.2362  0.9047
Pr  0.7638  0.0953  0.4274
Pr  0.9047  0.5726  0.2362
Se  0.3333  0.3333  0.3333
Se  0.6667  0.6667  0.6667
O  0.1245  0.7916  0.4561
O  0.2084  0.5439  0.8755
O  0.4561  0.1245  0.7916
O  0.5439  0.8755  0.2084
O  0.7916  0.4561  0.1245
O  0.8755  0.2084  0.5439

Formation energy without anion corrections = -2.8860 eV/atom
Space-group type = R-3

=====

# 3
The following is a PBE calculation of NiMo2Cl after structural relaxation, from the Alexandria database.

Cell: 2.9132 2.9132 6.6872 Å, 90.00 90.00 90.00°
Element x y z (fractional)
Ni  0.0000  0.0000  0.0000
Mo  0.5000  0.5000  0.2352
Mo  0.5000  0.5000  0.7648
Cl  0.0000  0.0000  0.5000

Excess energy over the best structure of this formula in the dataset = 0.866 eV/f.u.
Formation energy without anion corrections = 0.4274 eV/atom
Space-group type = P4/mmm

=====

# 4
The following is a PBE calculation of Li2BeCr after structural relaxation, from the Alexandria database.

Cell: 2.4447 2.4447 27.5217 Å, 90.00 90.00 120.00°
Element x y z (fractional)
Li  0.0000  0.0000  0.2478
Li  0.0000  0.0000  0.7522
Li  0.3333  0.6667  0.4188
Li  0.3333  0.6667  0.9145
Li  0.6667  0.3333  0.0855
Li  0.6667  0.3333  0.5812
Be  0.0000  0.0000  0.5000
Be  0.3333  0.6667  0.1667
Be  0.6667  0.3333  0.8333
Cr  0.0000  0.0000  0.0000
Cr  0.3333  0.6667  0.6667
Cr  0.6667  0.3333  0.3333

Space-group type = R-3m

=====

# 5
The following is a PBE calculation of Pm4NdDy after structural relaxation, from the Alexandria database.

Cell: 3.6444 5.1292 10.9449 Å, 90.00 90.00 90.00°
Element x y z (fractional)
Pm  0.0000  0.0000  0.1646
Pm  0.0000  0.0000  0.8354
Pm  0.5000  0.5000  0.3308
Pm  0.5000  0.5000  0.6692
Nd  0.0000  0.0000  0.5000
Dy  0.5000  0.5000  0.0000

Excess energy over the best structure of this formula in the dataset = 0.000 eV/f.u.
Space-group type = Pmmm

=====

# 6
The following is a PBE calculation of Hf2ZnRuCl after structural relaxation, from the Alexandria database.

Cell: 4.6626 4.6626 4.3820 Å, 90.00 90.00 90.00°
Element x y z (fractional)
Hf  0.0000  0.5000  0.0000
Hf  0.5000  0.0000  0.0000
Zn  0.0000  0.0000  0.5000
Ru  0.5000  0.5000  0.5000
Cl  0.5000  0.5000  0.0000

Formation energy without anion corrections = 0.3407 eV/atom
Space-group type = P4/mmm

=====

# 7
The following is a PBE calculation of BaLu2 after structural relaxation, from the Alexandria database.

Cell: 7.0393 7.0393 7.0393 Å, 60.00 60.00 60.00°
Element x y z (fractional)
Ba  0.1250  0.1250  0.1250
Ba  0.8750  0.8750  0.8750
Lu  0.0000  0.5000  0.5000
Lu  0.5000  0.0000  0.5000
Lu  0.5000  0.5000  0.0000
Lu  0.5000  0.5000  0.5000

Space-group type = Fd-3m

=====

# 8
The following is a PBE calculation of Na2HfNiSb after structural relaxation, from the Alexandria database.

Cell: 5.3969 5.3969 5.4693 Å, 90.00 90.00 90.00°
Element x y z (fractional)
Na  0.0000  0.5000  0.0000
Na  0.5000  0.0000  0.0000
Hf  0.0000  0.0000  0.5000
Ni  0.5000  0.5000  0.5000
Sb  0.0000  0.0000  0.0000

Formation energy without anion corrections = 0.8894 eV/atom
Space-group type = P4/mmm

=====

| no. | DFT total energy (eV/atom) | magnetic moment (μB per atom) |
| --- | --- | --- |
| 1 | -4.5291 | 0.00 |
| 2 | -7.5571 | 0.00 |
| 3 | -6.8952 | 0.00 |
| 4 | -3.8976 | 0.08 |
| 5 | -4.7157 | 0.00 |
| 6 | -6.1200 | 0.00 |
| 7 | -3.3002 | 0.71 |
| 8 | -3.6096 | 0.00 |